No. 1
## ZnOs2Au (PBE)

Data for crystalline ZnOs2Au at its relaxed geometry.

Properties
Crystal system: tetragonal
Formation enthalpy at 0 K in kJ per mole of atoms: 12
E_tot in eV per cell: -26.51
Volume in Å³/f.u.: 61
Density of states at the Fermi level in states/eV per atom: 0.73

a b c (Å): 2.8221 2.8221 7.6874
angles (deg): 90.00 90.00 90.00
With the nearest neighbours (Å) after each atom.
Atoms (fractional coordinates):
Zn  0.0000  0.0000  0.0000  4 Os 2.75, 4 Au 2.81, 4 Zn 2.82
Os  0.0000  0.0000  0.5392  8 Os 2.59-2.82
Os  0.5000  0.5000  0.7530  8 Os 2.59-2.82, 4 Zn 2.75
Au  0.5000  0.5000  0.2581  4 Zn 2.81, 4 Au 2.82, 4 Os 2.94

---

No. 2
## Zn2OsAu (PBE)

Data for crystalline Zn2OsAu at its relaxed geometry.

Properties
Crystal system: orthorhombic
Formation enthalpy at 0 K in kJ per mole of atoms: 11
E_tot in eV per cell: -16.58
Volume in Å³/f.u.: 60
Density of states at the Fermi level in states/eV per atom: 0.58

a b c (Å): 4.7680 4.7680 2.7551
angles (deg): 90.00 90.00 105.95
With the nearest neighbours (Å) after each atom.
Atoms (fractional coordinates):
Zn  0.0000  0.5000  0.0000  4 Os 2.75, 4 Au 2.75, 4 Zn 2.76-2.87
Zn  0.5000  0.0000  0.0000  4 Os 2.75, 4 Au 2.75, 4 Zn 2.76-2.87
Os  0.0000  0.0000  0.5000  8 Zn 2.75, 2 Os 2.76, 2 Au 2.87
Au  0.5000  0.5000  0.5000  8 Zn 2.75, 2 Au 2.76, 2 Os 2.87

---

No. 3
## ZnOs2Au (PBE)

Data for crystalline ZnOs2Au at its relaxed geometry.

Properties
Crystal system: monoclinic
Formation enthalpy at 0 K in kJ per mole of atoms: 41
E_tot in eV per cell: -25.31
Volume in Å³/f.u.: 60
Density of states at the Fermi level in states/eV per atom: 1.06

a b c (Å): 4.8640 4.8640 4.7383
angles (deg): 101.12 101.12 33.41
With the nearest neighbours (Å) after each atom.
Atoms (fractional coordinates):
Zn  0.0000  0.0000  0.0000  6 Os 2.70-2.83, 4 Au 2.75, 2 Zn 2.80
Os  0.2570  0.2570  0.7676  6 Os 2.63-2.88, 3 Zn 2.70-2.83, 3 Au 2.81-2.84
Os  0.7430  0.7430  0.2324  6 Os 2.63-2.88, 3 Zn 2.70-2.83, 3 Au 2.81-2.84
Au  0.5000  0.5000  0.5000  4 Zn 2.75, 2 Au 2.80, 6 Os 2.81-2.84

---

No. 4
## Zn2OsAu (PBE)

Data for crystalline Zn2OsAu at its relaxed geometry.

Properties
Crystal system: cubic
Formation enthalpy at 0 K in kJ per mole of atoms: 37
E_tot in eV per cell: -15.50
Volume in Å³/f.u.: 61
Density of states at the Fermi level in states/eV per atom: 1.05

a b c (Å): 4.4280 4.4280 4.4280
angles (deg): 60.00 60.00 60.00
With the nearest neighbours (Å) after each atom.
Atoms (fractional coordinates):
Zn  0.0000  0.0000  0.0000  4 Os 2.71, 4 Zn 2.71
Zn  0.2500  0.2500  0.2500  4 Au 2.71, 4 Zn 2.71
Os  0.7500  0.7500  0.7500  4 Au 2.71, 4 Zn 2.71
Au  0.5000  0.5000  0.5000  4 Os 2.71, 4 Zn 2.71

---

No. 5
## Zn2OsAu (PBE)

Data for crystalline Zn2OsAu at its relaxed geometry.

Properties
Crystal system: trigonal
Formation enthalpy at 0 K in kJ per mole of atoms: 7
E_tot in eV per cell: -16.75
Volume in Å³/f.u.: 61
Density of states at the Fermi level in states/eV per atom: 0.45

a b c (Å): 8.9264 8.9264 8.9264
angles (deg): 18.24 18.24 18.24
With the nearest neighbours (Å) after each atom.
Atoms (fractional coordinates):
Zn  0.2469  0.2469  0.2469  3 Os 2.67, 3 Au 2.80, 6 Zn 2.83
Zn  0.7531  0.7531  0.7531  3 Os 2.67, 3 Au 2.80, 6 Zn 2.83
Os  0.5000  0.5000  0.5000  6 Zn 2.67, 6 Os 2.83
Au  0.0000  0.0000  0.0000  6 Zn 2.80, 6 Au 2.83

---

No. 6
## ZnOsAu (PBE)

Data for crystalline ZnOsAu at its relaxed geometry.

Properties
Polymorph energy (0 for the lowest one) in eV/atom: 0.000
Crystal system: trigonal
Formation enthalpy at 0 K in kJ per mole of atoms: 26
E_tot in eV per cell: -14.97
Volume in Å³/f.u.: 46
Density of states at the Fermi level in states/eV per atom: 0.76

a b c (Å): 2.8049 2.8049 6.7793
angles (deg): 90.00 90.00 120.00
With the nearest neighbours (Å) after each atom.
Atoms (fractional coordinates):
Zn  0.0000  0.0000  0.0000  3 Os 2.66, 3 Au 2.77, 6 Zn 2.80
Os  0.3333  0.6667  0.6890  3 Zn 2.66, 6 Os 2.80, 3 Au 2.91
Au  0.6667  0.3333  0.3323  3 Zn 2.77, 6 Au 2.80, 3 Os 2.91

---

No. 7
## ZnOsAu2 (PBE)

Data for crystalline ZnOsAu2 at its relaxed geometry.

Properties
Crystal system: monoclinic
Formation enthalpy at 0 K in kJ per mole of atoms: 32
E_tot in eV per cell: -17.73
Volume in Å³/f.u.: 65
Density of states at the Fermi level in states/eV per atom: 0.71

a b c (Å): 4.9145 4.9145 5.0727
angles (deg): 101.36 101.36 32.61
With the nearest neighbours (Å) after each atom.
Atoms (fractional coordinates):
Zn  0.0000  0.0000  0.0000  3 Os 2.68-2.93, 2 Zn 2.76, 7 Au 2.78-2.99
Os  0.7378  0.7378  0.2243  3 Zn 2.68-2.93, 2 Os 2.76, 7 Au 2.83-2.94
Au  0.2545  0.2545  0.7407  5 Au 2.76-2.92, 3 Zn 2.78-2.96, 4 Os 2.85-2.94
Au  0.4914  0.4914  0.4748  5 Au 2.76-2.92, 4 Zn 2.79-2.99, 3 Os 2.83-2.87

---

No. 8
## ZnOsAu2 (PBE)

Data for crystalline ZnOsAu2 at its relaxed geometry.

Properties
Crystal system: orthorhombic
Formation enthalpy at 0 K in kJ per mole of atoms: 40
E_tot in eV per cell: -17.40
Volume in Å³/f.u.: 64
Density of states at the Fermi level in states/eV per atom: 0.85

a b c (Å): 3.1809 4.4459 4.5575
angles (deg): 90.00 90.00 90.00
With the nearest neighbours (Å) after each atom.
Atoms (fractional coordinates):
Zn  0.0000  0.0000  0.0000  4 Os 2.73, 4 Au 2.78
Os  0.5000  0.5000  0.0000  4 Zn 2.73, 4 Au 2.78
Au  0.0000  0.5000  0.5000  4 Au 2.73, 4 Os 2.78
Au  0.5000  0.0000  0.5000  4 Au 2.73, 4 Zn 2.78

---

No. 9
## Zn2OsAu (PBE)

Data for crystalline Zn2OsAu at its relaxed geometry.

Properties
Crystal system: monoclinic
Formation enthalpy at 0 K in kJ per mole of atoms: 18
E_tot in eV per cell: -16.29
Volume in Å³/f.u.: 61
Density of states at the Fermi level in states/eV per atom: 0.44

a b c (Å): 4.6272 4.6272 5.0572
angles (deg): 99.02 99.02 34.91
With the nearest neighbours (Å) after each atom.
Atoms (fractional coordinates):
Zn  0.2458  0.2458  0.2328  3 Os 2.68-2.70, 3 Au 2.74-2.79, 4 Zn 2.74-2.78
Zn  0.7542  0.7542  0.7672  3 Os 2.68-2.70, 3 Au 2.74-2.79, 4 Zn 2.74-2.78
Os  0.5000  0.5000  0.0000  6 Zn 2.68-2.70, 2 Os 2.78, 4 Au 2.88
Au  0.0000  0.0000  0.5000  6 Zn 2.74-2.79, 2 Au 2.78, 4 Os 2.88

---

No. 10
## Zn2OsAu (PBE)

Data for crystalline Zn2OsAu at its relaxed geometry.

Properties
Crystal system: orthorhombic
Formation enthalpy at 0 K in kJ per mole of atoms: 14
E_tot in eV per cell: -16.49
Volume in Å³/f.u.: 62
Density of states at the Fermi level in states/eV per atom: 0.50

a b c (Å): 2.7788 2.7788 9.0211
angles (deg): 90.00 90.00 117.82
With the nearest neighbours (Å) after each atom.
Atoms (fractional coordinates):
Zn  0.0000  0.0000  0.2419  2 Os 2.61, 2 Au 2.73, 6 Zn 2.78-2.87
Zn  0.0000  0.0000  0.7581  2 Os 2.61, 2 Au 2.73, 6 Zn 2.78-2.87
Os  0.5000  0.5000  0.0000  4 Zn 2.61, 6 Os 2.78-2.87
Au  0.5000  0.5000  0.5000  4 Zn 2.73, 6 Au 2.78-2.87

---

No. 11
## ZnOsAu2 (PBE)

Data for crystalline ZnOsAu2 at its relaxed geometry.

Properties
Crystal system: tetragonal
Formation enthalpy at 0 K in kJ per mole of atoms: 46
E_tot in eV per cell: -17.16
Volume in Å³/f.u.: 65
Density of states at the Fermi level in states/eV per atom: 0.89

a b c (Å): 4.8165 4.8165 4.8165
angles (deg): 129.58 129.58 74.09
With the nearest neighbours (Å) after each atom.
Atoms (fractional coordinates):
Zn  0.0000  0.0000  0.0000  8 Au 2.81, 4 Os 2.90
Os  0.5000  0.5000  0.0000  8 Au 2.81, 4 Zn 2.90
Au  0.2500  0.7500  0.5000  4 Os 2.81, 4 Zn 2.81, 4 Au 2.90
Au  0.7500  0.2500  0.5000  4 Os 2.81, 4 Zn 2.81, 4 Au 2.90

---

No. 12
## ZnOs2Au (PBE)

Data for crystalline ZnOs2Au at its relaxed geometry.

Properties
Crystal system: orthorhombic
Formation enthalpy at 0 K in kJ per mole of atoms: 52
E_tot in eV per cell: -24.86
Volume in Å³/f.u.: 62
Density of states at the Fermi level in states/eV per atom: 0.85

a b c (Å): 2.7314 2.7314 9.4683
angles (deg): 90.00 90.00 119.26
With the nearest neighbours (Å) after each atom.
Atoms (fractional coordinates):
Zn  0.0000  0.0000  0.0000  4 Os 2.62, 6 Zn 2.73-2.76
Os  0.5000  0.5000  0.2351  2 Zn 2.62, 6 Os 2.73-2.76, 2 Au 2.86
Os  0.5000  0.5000  0.7649  2 Zn 2.62, 6 Os 2.73-2.76, 2 Au 2.86
Au  0.0000  0.0000  0.5000  6 Au 2.73-2.76, 4 Os 2.86

---

No. 13
## Zn2OsAu (PBE)

Data for crystalline Zn2OsAu at its relaxed geometry.

Properties
Crystal system: tetragonal
Formation enthalpy at 0 K in kJ per mole of atoms: 9
E_tot in eV per cell: -16.68
Volume in Å³/f.u.: 59
Density of states at the Fermi level in states/eV per atom: 0.61

a b c (Å): 4.1842 4.1842 3.3814
angles (deg): 90.00 90.00 90.00
With the nearest neighbours (Å) after each atom.
Atoms (fractional coordinates):
Zn  0.0000  0.5000  0.0000  4 Os 2.69, 4 Au 2.69, 4 Zn 2.96
Zn  0.5000  0.0000  0.0000  4 Os 2.69, 4 Au 2.69, 4 Zn 2.96
Os  0.0000  0.0000  0.5000  8 Zn 2.69, 4 Au 2.96
Au  0.5000  0.5000  0.5000  8 Zn 2.69, 4 Os 2.96

---

No. 14
## ZnOsAu2 (PBE)

Data for crystalline ZnOsAu2 at its relaxed geometry.

Properties
Crystal system: tetragonal
Formation enthalpy at 0 K in kJ per mole of atoms: 67
E_tot in eV per cell: -32.58
Volume in Å³/f.u.: 70
Density of states at the Fermi level in states/eV per atom: 0.90

a b c (Å): 10.0456 10.0456 10.0456
angles (deg): 158.19 158.19 31.04
With the nearest neighbours (Å) after each atom.
Atoms (fractional coordinates):
Zn  0.0000  0.0000  0.0000  4 Os 2.69, 4 Au 2.77
Zn  0.7500  0.2500  0.5000  4 Os 2.69, 4 Au 2.77
Os  0.2500  0.7500  0.5000  4 Zn 2.69, 4 Au 2.77
Os  0.5000  0.5000  0.0000  4 Zn 2.69, 4 Au 2.77
Au  0.1268  0.6250  0.0018  4 Au 2.68-2.70, 2 Os 2.77, 2 Zn 2.77
Au  0.3750  0.3768  0.5018  4 Au 2.68-2.70, 2 Os 2.77, 2 Zn 2.77
Au  0.6232  0.1250  0.9982  4 Au 2.68-2.70, 2 Os 2.77, 2 Zn 2.77
Au  0.8750  0.8732  0.4982  4 Au 2.68-2.70, 2 Os 2.77, 2 Zn 2.77

---

No. 15
## ZnOsAu3 (PBE)

Data for crystalline ZnOsAu3 at its relaxed geometry.

Properties
Polymorph energy (0 for the lowest one) in eV/atom: 0.113
Crystal system: cubic
Formation enthalpy at 0 K in kJ per mole of atoms: 131
E_tot in eV per cell: -15.54
Volume in Å³/f.u.: 103
Density of states at the Fermi level in states/eV per atom: 0.89

a b c (Å): 4.6862 4.6862 4.6862
angles (deg): 90.00 90.00 90.00
With the nearest neighbours (Å) after each atom.
Atoms (fractional coordinates):
Zn  0.0000  0.0000  0.0000  6 Au 2.34
Os  0.5000  0.5000  0.5000  12 Au 3.31
Au  0.0000  0.0000  0.5000  2 Zn 2.34
Au  0.0000  0.5000  0.0000  2 Zn 2.34
Au  0.5000  0.0000  0.0000  2 Zn 2.34